(1)
Density functional theory data (PBE) for a relaxed structure of Nd6Ga2Os.

a = 6.1549 Å, b = 9.0567 Å, c = 10.4190 Å
α = 90.00°, β = 116.36°, γ = 90.00°
Space group P2_1/c (No. 14)
Unique sites:
Nd1 0.0681 0.1777 0.4789 x4
Nd2 0.3490 0.6746 0.4450 x4
Nd3 0.3726 0.0326 0.2730 x4
Ga1 0.1396 0.1079 0.7795 x4
Os1 0.0000 0.0000 0.0000 x2

Values from the calculation:
M_tot: 0.00 μB per formula unit

---

(2)
Density functional theory data (PBE) for a relaxed structure of NdGa4Os.

a = 7.7419 Å, b = 4.1529 Å, c = 7.1033 Å
α = 90.00°, β = 90.00°, γ = 90.00°
Space group Pmma (No. 51)
Unique sites:
Nd1 0.2500 0.0000 0.1333 x2
Ga1 0.0000 0.0000 0.5000 x2
Ga2 0.0676 0.5000 0.8231 x4
Ga3 0.2500 0.5000 0.4597 x2
Os1 0.2500 0.0000 0.7010 x2

Values from the calculation:
M_tot: 0.00 μB per formula unit

---

(3)
Density functional theory data (PBE) for a relaxed structure of Nd2Ga3Os.

a = 5.6032 Å, b = 5.6032 Å, c = 13.1984 Å
α = 90.00°, β = 90.00°, γ = 120.00°
Space group R-3m (No. 166, hexagonal axes)
Unique sites:
Nd1 0.0000 0.0000 0.1260 x6
Ga1 0.0000 0.5000 0.0000 x9
Os1 0.0000 0.0000 0.5000 x3

Values from the calculation:
M_tot: 0.00 μB per formula unit

---

(4)
Density functional theory data (PBE) for a relaxed structure of Nd2Ga6Os.

a = 6.0445 Å, b = 6.0445 Å, c = 5.6059 Å
α = 90.00°, β = 90.00°, γ = 120.00°
Space group P-3m1 (No. 164)
Unique sites:
Nd1 0.3333 0.6667 0.3109 x2
Ga1 0.1735 0.3470 0.8165 x6
Os1 0.0000 0.0000 0.5000 x1

Values from the calculation:
M_tot: 0.00 μB per formula unit

---

(5)
Density functional theory data (PBE) for a relaxed structure of Nd3GaOs.

a = 4.6713 Å, b = 7.7694 Å, c = 7.9833 Å
α = 95.72°, β = 90.04°, γ = 107.49°
Space group P-1 (No. 2)
Unique sites:
Nd1 0.0467 0.0930 0.2936 x2
Nd2 0.2391 0.4780 0.6885 x2
Nd3 0.3836 0.7670 0.0671 x2
Ga1 0.4094 0.8195 0.4578 x2
Os1 0.1965 0.3931 0.0914 x2

Values from the calculation:
M_tot: 0.00 μB per formula unit
energy relative to the lowest polymorph listed for this composition: 51 meV/atom

---

(6)
Density functional theory data (PBE) for a relaxed structure of Nd4Ga3Os.

a = 4.3036 Å, b = 4.3136 Å, c = 10.9940 Å
α = 90.00°, β = 90.00°, γ = 90.00°
Space group Pmm2 (No. 25)
Unique sites:
Nd1 0.0000 0.0000 0.0000 x1
Nd2 0.0000 0.5000 0.4764 x1
Nd3 0.5000 0.0000 0.7022 x1
Nd4 0.5000 0.5000 0.2057 x1
Ga1 0.0000 0.5000 0.7749 x1
Ga2 0.5000 0.0000 0.4112 x1
Ga3 0.5000 0.5000 0.9171 x1
Os1 0.0000 0.0000 0.2799 x1

Values from the calculation:
M_tot: 0.00 μB per formula unit

---

Table of uncorrected energy (eV/atom), in record order: -5.3380; -5.1146; -5.4038; -4.7824; -5.9295; -5.3659
Table of mass density (Mg/m³), in record order: 7.6; 8.9; 9.6; 8.4; 8.4; 7.9
Table of energy of formation from the pure elements (eV/atom), in record order: -0.239; -0.430; -0.429; -0.457; -0.218; -0.443